(1)
A plane-wave DFT calculation with GGA-PBE was carried out for a geometry-optimized FeTc2 structure.

Unit cell a=5.0724 b=5.0724 c=8.1235 alpha=90.00 beta=90.00 gamma=120.00
Closest atoms and distances in Å follow each position.
Space group P6_3/mmc (No. 194)
Symmetry-distinct sites (fractional):
Fe: 0.3333 0.6667 0.0734  4 Fe 2.87-3.16, 12 Tc 2.91-2.99
Tc: 0.0000 0.0000 0.0000  6 Tc 2.55
Tc: 0.1748 0.3495 0.7500  6 Tc 2.41-2.66

N(E_F) = 1.44 states/eV/atom
calculated formation energy = 0.4564 eV/atom
calculated total energy = -111.30 eV/cell
total magnetic moment = 2.35 μB per formula unit

---

(2)
A plane-wave DFT calculation with GGA-PBE was carried out for a geometry-optimized FeTc8 structure.

Unit cell a=8.1805 b=8.1805 c=3.8396 alpha=90.00 beta=90.00 gamma=90.00
Closest atoms and distances in Å follow each position.
Space group I4/mmm (No. 139)
Symmetry-distinct sites (fractional):
Fe: 0.0000 0.0000 0.0000  12 Tc 2.69-2.70
Tc: 0.0000 0.3298 0.0000  1 Fe 2.70, 11 Tc 2.71-2.78
Tc: 0.1632 0.1632 0.5000  10 Tc 2.67-2.78, 2 Fe 2.69

N(E_F) = 1.12 states/eV/atom
calculated formation energy = 0.0857 eV/atom
calculated total energy = -181.24 eV/cell
total magnetic moment = 2.05 μB per formula unit

---

(3)
A plane-wave DFT calculation with GGA-PBE was carried out for a geometry-optimized FeTc2 structure.

Unit cell a=5.2167 b=4.0338 c=7.7045 alpha=90.00 beta=90.00 gamma=90.00
Closest atoms and distances in Å follow each position.
Space group Pnma (No. 62)
Symmetry-distinct sites (fractional):
Fe: 0.1949 0.2500 0.1132  10 Tc 2.51-2.74
Tc: 0.0562 0.2500 0.7792  5 Fe 2.54-2.72, 5 Tc 2.65-2.75
Tc: 0.1757 0.2500 0.4401  5 Fe 2.51-2.74, 3 Tc 2.69-2.75

N(E_F) = 1.00 states/eV/atom
calculated formation energy = 0.1219 eV/atom
calculated total energy = -115.32 eV/cell
total magnetic moment = 1.35 μB per formula unit

---

(4)
A plane-wave DFT calculation with GGA-PBE was carried out for a geometry-optimized FeTc3 structure.

Unit cell a=2.7207 b=2.7207 c=8.5049 alpha=90.00 beta=90.00 gamma=120.00
Closest atoms and distances in Å follow each position.
Space group P-6m2 (No. 187)
Symmetry-distinct sites (fractional):
Fe: 0.0000 0.0000 0.0000  6 Tc 2.57, 6 Fe 2.72
Tc: 0.0000 0.0000 0.5000  12 Tc 2.72
Tc: 0.3333 0.6667 0.2385  3 Fe 2.57, 9 Tc 2.72

N(E_F) = 1.14 states/eV/atom
calculated formation energy = 0.0781 eV/atom
calculated total energy = -39.25 eV/cell
total magnetic moment = 0.00 μB per formula unit

---

(5)
A plane-wave DFT calculation with GGA-PBE was carried out for a geometry-optimized FeTc3 structure.

Unit cell a=6.0848 b=6.0848 c=6.0848 alpha=90.00 beta=90.00 gamma=90.00
Closest atoms and distances in Å follow each position.
Space group Fm-3m (No. 225)
Symmetry-distinct sites (fractional):
Fe: 0.0000 0.0000 0.0000  8 Tc 2.63
Tc: 0.0000 0.0000 0.5000  8 Tc 2.63
Tc: 0.2500 0.2500 0.2500  4 Fe 2.63, 4 Tc 2.63

N(E_F) = 1.03 states/eV/atom
calculated formation energy = 0.1849 eV/atom
calculated total energy = -155.28 eV/cell
total magnetic moment = 3.04 μB per formula unit

---

(6)
A plane-wave DFT calculation with GGA-PBE was carried out for a geometry-optimized FeTc3 structure.

Unit cell a=4.8098 b=4.8098 c=4.8098 alpha=90.00 beta=90.00 gamma=90.00
Closest atoms and distances in Å follow each position.
Space group Pm-3n (No. 223)
Symmetry-distinct sites (fractional):
Fe: 0.0000 0.0000 0.0000  12 Tc 2.69
Tc: 0.0000 0.2500 0.5000  2 Tc 2.40, 4 Fe 2.69

N(E_F) = 1.25 states/eV/atom
calculated formation energy = 0.1188 eV/atom
calculated total energy = -78.17 eV/cell
total magnetic moment = 1.62 μB per formula unit

---

(7)
A plane-wave DFT calculation with GGA-PBE was carried out for a geometry-optimized Fe5Tc3 structure.

Unit cell a=7.2490 b=7.4913 c=3.6590 alpha=90.00 beta=90.00 gamma=90.00
Closest atoms and distances in Å follow each position.
Space group Cmmm (No. 65)
Symmetry-distinct sites (fractional):
Fe: 0.0000 0.0000 0.0000  8 Fe 2.54-2.61, 4 Tc 2.58
Fe: 0.2424 0.0000 0.5000  6 Tc 2.53-2.68, 6 Fe 2.54-2.62
Fe: 0.2500 0.2500 0.0000  6 Tc 2.58-2.61, 6 Fe 2.61-2.62
Tc: 0.0000 0.2436 0.5000  10 Fe 2.53-2.68, 2 Tc 2.65
Tc: 0.0000 0.5000 0.0000  8 Fe 2.61, 4 Tc 2.65

N(E_F) = 0.91 states/eV/atom
calculated formation energy = 0.0749 eV/atom
calculated total energy = -145.62 eV/cell
distance to the lowest polymorph of the same formula = 0 meV/atom
total magnetic moment = 0.94 μB per formula unit

---

(8)
A plane-wave DFT calculation with GGA-PBE was carried out for a geometry-optimized FeTc3 structure.

Unit cell a=8.6253 b=8.6253 c=2.6275 alpha=90.00 beta=90.00 gamma=120.00
Closest atoms and distances in Å follow each position.
Space group R-3m (No. 166, hexagonal axes)
Symmetry-distinct sites (fractional):
Fe: 0.0000 0.0000 0.0000  2 Fe 2.63, 6 Tc 2.64
Tc: 0.0000 0.5000 0.0000  6 Tc 2.63-2.64, 2 Fe 2.64

N(E_F) = 1.28 states/eV/atom
calculated formation energy = 0.2200 eV/atom
calculated total energy = -116.04 eV/cell
total magnetic moment = 2.43 μB per formula unit

---

Question: Among the records above, which one has the highest total magnetic moment?
Answer: number 5